w.
# GGA-PBE GaSb, optimized geometry
data_GaSb
_chemical_formula_sum 'Ga1 Sb1'
_cell_length_a 4.1014
_cell_length_b 4.1014
_cell_length_c 4.1014
_cell_angle_alpha 60.00
_cell_angle_beta 60.00
_cell_angle_gamma 60.00
_symmetry_space_group_name_H-M 'P 1'
_symmetry_Int_Tables_number 1
loop_
_symmetry_equiv_pos_as_xyz
'x,y,z'
loop_
_atom_site_label
_atom_site_fract_x
_atom_site_fract_y
_atom_site_fract_z
Sb1 0.0000 0.0000 0.0000
Ga1 0.5000 0.5000 0.5000
# - M_tot: 0.000 μB/atom
# - Density: 6.5 g/cm³

=====

x.
# GGA-PBE GaSb, optimized geometry
data_GaSb
_chemical_formula_sum 'Ga4 Sb4'
_cell_length_a 7.6450
_cell_length_b 4.4069
_cell_length_c 7.6178
_cell_angle_alpha 90.00
_cell_angle_beta 109.38
_cell_angle_gamma 90.00
_symmetry_space_group_name_H-M 'P 1'
_symmetry_Int_Tables_number 1
loop_
_symmetry_equiv_pos_as_xyz
'x,y,z'
loop_
_atom_site_label
_atom_site_fract_x
_atom_site_fract_y
_atom_site_fract_z
Ga1 0.8265 0.0000 0.4413
Ga2 0.1735 0.0000 0.5587
Ga3 0.8265 0.5000 0.9413
Ga4 0.1735 0.5000 0.0587
Sb1 0.3012 0.0000 0.9346
Sb2 0.6988 0.0000 0.0654
Sb3 0.3012 0.5000 0.4346
Sb4 0.6988 0.5000 0.5654
# - M_tot: 0.000 μB/atom
# - Density: 5.3 g/cm³

=====

y.
# GGA-PBE GaSb, optimized geometry
data_GaSb
_chemical_formula_sum 'Ga2 Sb2'
_cell_length_a 4.3788
_cell_length_b 4.3788
_cell_length_c 7.2150
_cell_angle_alpha 90.00
_cell_angle_beta 90.00
_cell_angle_gamma 120.00
_symmetry_space_group_name_H-M 'P 1'
_symmetry_Int_Tables_number 1
loop_
_symmetry_equiv_pos_as_xyz
'x,y,z'
loop_
_atom_site_label
_atom_site_fract_x
_atom_site_fract_y
_atom_site_fract_z
Sb1 0.6667 0.3333 0.8744
Sb2 0.3333 0.6667 0.3744
Ga1 0.6667 0.3333 0.5004
Ga2 0.3333 0.6667 0.0004
# - M_tot: 0.000 μB/atom
# - Density: 5.3 g/cm³

=====

The energy of each structure relative to the most stable one, in meV per atom, is as follows: w 180; x 60; y 0.